Material: Ga3Pt2
Method: DFT, GGA-PBEsol
State: optimized geometry

As for the total energy: -5.41 eV/atom. The calculation puts the formation energy at -0.616 eV/atom.

a b c (Å): 4.229 4.229 5.236
angles (deg): 90.00 90.00 120.00
Positions (direct):
1 Ga 0.000 0.000 0.000
2 Ga 0.333 0.667 0.643
3 Ga 0.667 0.333 0.357
4 Pt 0.333 0.667 0.164
5 Pt 0.667 0.333 0.836